Compound: Li2MnAgF6
Source: Alexandria via LeMat-Bulk
Functional: PBE with a Hubbard U
Structure: relaxed

Values from the calculation:
For the density of states at the Fermi level, the calculation gives 2.56 states/eV per cell. The calculation puts the total energy at -45.98 eV/cell.

Structure (POSCAR):
```
Li2MnAgF6
1.0
0.000 4.252 4.252
4.252 0.000 4.252
4.252 4.252 0.000
Li Mn Ag F
2 1 1 6
Cartesian
2.126 2.126 2.126 Li
6.379 6.379 6.379 Li
0.000 0.000 0.000 Mn
4.252 4.252 4.252 Ag
4.252 4.252 1.991 F
6.513 4.252 4.252 F
4.252 4.252 6.513 F
4.252 1.991 4.252 F
4.252 6.513 4.252 F
1.991 4.252 4.252 F
```